Record 1
# V2CoSnSb PBE optimized geometry
data_V2CoSnSb
_cell_length_a 5.014
_cell_length_b 5.014
_cell_length_c 4.638
_cell_angle_alpha 90.00
_cell_angle_beta 90.00
_cell_angle_gamma 90.00
_symmetry_space_group_name_H-M 'P 4/m m m'
_symmetry_Int_Tables_number 123
_symmetry_space_group_name_Hall '-P 4 2'
loop_
_atom_site_label
_atom_site_type_symbol
_atom_site_fract_x
_atom_site_fract_y
_atom_site_fract_z
_atom_site_occupancy
V1 V 0.000 0.500 0.000 1
Co1 Co 0.000 0.000 0.500 1
Sn1 Sn 0.000 0.000 0.000 1
Sb1 Sb 0.500 0.500 0.500 1
# Energy relative to the elements, uncorrected = 120.2 kJ/mol of atoms
# Uncorrected energy = -27.2 eV/cell
# Total magnetization = 4.796 μB/f.u.

Record 2
# ZrBeC2 PBE optimized geometry
data_ZrBeC2
_cell_length_a 3.798
_cell_length_b 3.798
_cell_length_c 11.328
_cell_angle_alpha 90.00
_cell_angle_beta 90.00
_cell_angle_gamma 90.00
_symmetry_space_group_name_H-M 'I -4 2 d'
_symmetry_Int_Tables_number 122
_symmetry_space_group_name_Hall 'I -4 2bw'
loop_
_atom_site_label
_atom_site_type_symbol
_atom_site_fract_x
_atom_site_fract_y
_atom_site_fract_z
_atom_site_occupancy
Zr1 Zr 0.000 0.000 0.000 1
Be1 Be 0.000 0.000 0.500 1
C1 C 0.060 0.250 0.625 1
# Uncorrected energy = -117.2 eV/cell
# Total magnetization = 0.000 μB/f.u.
# Energy of formation = 0.3551 eV/atom

Record 3
# CePrAl2 PBE optimized geometry
data_CePrAl2
_cell_length_a 7.440
_cell_length_b 7.440
_cell_length_c 7.440
_cell_angle_alpha 90.00
_cell_angle_beta 90.00
_cell_angle_gamma 90.00
_symmetry_space_group_name_H-M 'F m -3 m'
_symmetry_Int_Tables_number 225
_symmetry_space_group_name_Hall '-F 4 2 3'
loop_
_atom_site_label
_atom_site_type_symbol
_atom_site_fract_x
_atom_site_fract_y
_atom_site_fract_z
_atom_site_occupancy
Ce1 Ce 0.000 0.000 0.000 1
Pr1 Pr 0.000 0.000 0.500 1
Al1 Al 0.250 0.250 0.250 1
# Uncorrected energy = -77.3 eV/cell
# Total magnetization = 0.854 μB/f.u.
# Distance to the lowest polymorph of the same formula = 70 meV per atom
# Energy of formation = -0.2790 eV/atom

Record 4
# KIr2Pt PBE optimized geometry
data_KIr2Pt
_cell_length_a 2.693
_cell_length_b 4.994
_cell_length_c 5.188
_cell_angle_alpha 90.00
_cell_angle_beta 90.00
_cell_angle_gamma 90.00
_symmetry_space_group_name_H-M 'P m m m'
_symmetry_Int_Tables_number 47
loop_
_symmetry_equiv_pos_as_xyz
'x,y,z'
'-x,-y,-z'
'-x,-y,z'
'x,y,-z'
'x,-y,-z'
'-x,y,z'
'-x,y,-z'
'x,-y,z'
loop_
_atom_site_label
_atom_site_type_symbol
_atom_site_fract_x
_atom_site_fract_y
_atom_site_fract_z
_atom_site_occupancy
K1 K 0.000 0.000 0.000 1
Ir1 Ir 0.000 0.500 0.500 1
Ir2 Ir 0.500 0.000 0.500 1
Pt1 Pt 0.500 0.500 0.000 1
# Uncorrected energy = -21.8 eV/cell
# Total magnetization = 0.003 μB/f.u.
# Distance to the lowest polymorph of the same formula = 461 meV per atom
# Energy of formation = 0.7772 eV/atom

Record 5
# NiGe2C PBE optimized geometry
data_NiGe2C
_cell_length_a 5.365
_cell_length_b 5.365
_cell_length_c 8.138
_cell_angle_alpha 90.00
_cell_angle_beta 90.00
_cell_angle_gamma 90.00
_symmetry_space_group_name_H-M 'I -4 2 d'
_symmetry_Int_Tables_number 122
_symmetry_space_group_name_Hall 'I -4 2bw'
loop_
_atom_site_label
_atom_site_type_symbol
_atom_site_fract_x
_atom_site_fract_y
_atom_site_fract_z
_atom_site_occupancy
Ni1 Ni 0.000 0.000 0.000 1
Ge1 Ge 0.198 0.250 0.625 1
C1 C 0.000 0.000 0.500 1
# Uncorrected energy = -89.3 eV/cell
# Total magnetization = 0.000 μB/f.u.
# Energy of formation = 0.4767 eV/atom

Record 6
# PmMgZn PBE optimized geometry
data_PmMgZn
_cell_length_a 7.6548
_cell_length_b 7.6548
_cell_length_c 4.2832
_cell_angle_alpha 90.00
_cell_angle_beta 90.00
_cell_angle_gamma 120.00
_symmetry_space_group_name_H-M 'P -6 2 m'
_symmetry_Int_Tables_number 189
_symmetry_space_group_name_Hall 'P -6 -2'
loop_
_atom_site_label
_atom_site_type_symbol
_atom_site_fract_x
_atom_site_fract_y
_atom_site_fract_z
_atom_site_occupancy
Pm1 Pm 0.0000 0.5878 0.0000 1
Mg1 Mg 0.0000 0.2439 0.5000 1
Zn1 Zn 0.0000 0.0000 0.0000 1
Zn2 Zn 0.3333 0.6667 0.5000 1
# Uncorrected energy = -25.2 eV/cell
# Total magnetization = 0.000 μB/f.u.
# Distance to the lowest polymorph of the same formula = 0 meV per atom
# Energy of formation = -0.2645 eV/atom

Record 7
# Tb2Ag3Hg3 PBE optimized geometry
data_Tb2Ag3Hg3
_cell_length_a 5.0051
_cell_length_b 5.0051
_cell_length_c 24.4008
_cell_angle_alpha 90.00
_cell_angle_beta 90.00
_cell_angle_gamma 120.00
_symmetry_space_group_name_H-M 'R 3 m'
_symmetry_Int_Tables_number 160
_symmetry_space_group_name_Hall 'R 3 -2"'
loop_
_atom_site_label
_atom_site_type_symbol
_atom_site_fract_x
_atom_site_fract_y
_atom_site_fract_z
_atom_site_occupancy
Tb1 Tb 0.0000 0.0000 0.0000 1
Tb2 Tb 0.0000 0.0000 0.4992 1
Ag1 Ag 0.0000 0.0000 0.2512 1
Ag2 Ag 0.0000 0.0000 0.3742 1
Ag3 Ag 0.0000 0.0000 0.7484 1
Hg1 Hg 0.0000 0.0000 0.1241 1
Hg2 Hg 0.0000 0.0000 0.6259 1
Hg3 Hg 0.0000 0.0000 0.8742 1
# Uncorrected energy = -63.5 eV/cell
# Total magnetization = 0.000 μB/f.u.
# Energy of formation = -0.3047 eV/atom

Record 8
# Ba2Fe PBE optimized geometry
data_Ba2Fe
_cell_length_a 7.981
_cell_length_b 7.981
_cell_length_c 7.981
_cell_angle_alpha 90.00
_cell_angle_beta 90.00
_cell_angle_gamma 90.00
_symmetry_space_group_name_H-M 'P a -3'
_symmetry_Int_Tables_number 205
_symmetry_space_group_name_Hall '-P 2ac 2ab 3'
loop_
_atom_site_label
_atom_site_type_symbol
_atom_site_fract_x
_atom_site_fract_y
_atom_site_fract_z
_atom_site_occupancy
Ba1 Ba 0.165 0.165 0.165 1
Fe1 Fe 0.000 0.000 0.500 1
# Uncorrected energy = -42.1 eV/cell
# Total magnetization = 2.027 μB/f.u.
# Energy of formation = 0.5976 eV/atom